[1]
{"formula": "NdNi3Sn", "functional": "PBE", "state": "relaxed", "e_tot_ev_per_fu": -26.0, "ef_ev_per_atom": 0.0209, "magnetic_moment_mub_per_fu": 0.0, "crystal_system": "orthorhombic", "lattice_angstrom": [[-4.1891, 1.0774, -2.7839], [3.9445, -0.5252, -6.1386], [-1.0816, -4.9150, -0.2745]], "species": ["Ni", "Ni", "Ni", "Ni", "Ni", "Ni", "Sn", "Sn", "Nd", "Nd"], "fractional_positions": [[0.5000, 0.5000, 0.0000], [0.0000, 0.1656, 0.0000], [0.0000, 0.3344, 0.5000], [0.5000, 0.0000, 0.5000], [0.0000, 0.6656, 0.5000], [0.0000, 0.8344, 0.0000], [0.0000, 0.5000, 0.0000], [0.0000, 0.0000, 0.5000], [0.5000, 0.0000, 0.0000], [0.5000, 0.5000, 0.5000]]}

---

[2]
{"formula": "Nd4Ni2Sn", "functional": "PBE", "state": "relaxed", "e_tot_ev_per_fu": -37.2, "ef_ev_per_atom": -0.3626, "magnetic_moment_mub_per_fu": 0.0, "crystal_system": "monoclinic", "lattice_angstrom": [[-3.9365, 3.5172, -4.5937], [-4.4667, -1.5436, 5.0998], [5.9854, 5.6899, 3.3290]], "species": ["Nd", "Nd", "Nd", "Nd", "Nd", "Nd", "Nd", "Nd", "Ni", "Ni", "Ni", "Ni", "Sn", "Sn"], "fractional_positions": [[0.2862, 0.1947, 0.8207], [0.0123, 0.2323, 0.4090], [0.8533, 0.5736, 0.0912], [0.7158, 0.1243, 0.6796], [0.4473, 0.7304, 0.8234], [0.4035, 0.9699, 0.2228], [0.8737, 0.6569, 0.6763], [0.4304, 0.4971, 0.2772], [0.8126, 0.8515, 0.4186], [0.6442, 0.1831, 0.0815], [0.4678, 0.3482, 0.5767], [0.1410, 0.5217, 0.9231], [0.1940, 0.7962, 0.4759], [0.9680, 0.0699, 0.0241]]}

---

[3]
{"formula": "Nd2Ni4Sn3", "functional": "PBE", "state": "relaxed", "e_tot_ev_per_fu": -48.7, "ef_ev_per_atom": -0.4453, "magnetic_moment_mub_per_fu": 0.0, "crystal_system": "orthorhombic", "lattice_angstrom": [[6.1352, 0.0000, 0.0000], [0.0000, 6.9887, 0.0000], [-3.0676, 0.0000, 8.0501]], "species": ["Sn", "Sn", "Sn", "Sn", "Sn", "Sn", "Ni", "Ni", "Ni", "Ni", "Ni", "Ni", "Ni", "Ni", "Nd", "Nd", "Nd", "Nd"], "fractional_positions": [[0.5000, 0.5000, 0.0000], [0.0000, 0.0000, 0.0000], [0.4883, 0.2500, 0.4767], [0.5117, 0.7500, 0.5233], [0.0117, 0.7500, 0.5233], [0.9883, 0.2500, 0.4767], [0.1760, 0.7500, 0.8519], [0.8240, 0.2500, 0.1481], [0.6647, 0.5051, 0.3294], [0.6760, 0.7500, 0.8519], [0.8353, 0.0051, 0.6706], [0.3353, 0.4949, 0.6706], [0.3240, 0.2500, 0.1481], [0.1647, 0.9949, 0.3294], [0.3964, 0.0809, 0.7928], [0.6036, 0.9191, 0.2072], [0.1036, 0.5809, 0.2072], [0.8964, 0.4191, 0.7928]]}